First-principles (PBE) data for an optimized crystal structure of Y2TmMn, as listed in Alexandria via LeMat-Bulk.

a = 3.5437 Å, b = 3.5437 Å, c = 8.6121 Å
α = 90.00°, β = 90.00°, γ = 90.00°
Closest atoms and distances in Å follow each position.
Fractional coordinates of all 4 atoms:
Y 0.0000 0.0000 0.7950  4 Mn 3.07
Y 0.0000 0.0000 0.2050  4 Mn 3.07
Tm 0.5000 0.5000 0.5000  4 Tm 3.54, 8 Y 3.57
Mn 0.5000 0.5000 0.0000  8 Y 3.07

Results
- electronic total energy (eV per atom) = -6.503
- ΔH_f (0 K) (eV per atom) = 0.139